[1]
The following is a GGA-PBE calculation of crystalline CsBaH2F at its relaxed geometry, from Alexandria.

```
CsBaH2F
1.0
5.235 0.000 0.000
0.000 5.235 0.000
0.000 0.000 5.104
Cs H Ba F
1 2 1 1
Cartesian
2.618 2.618 2.552
0.000 2.618 0.000
2.618 0.000 0.000
0.000 0.000 0.000
0.000 0.000 2.552
```

Values from the calculation:
Space-group type: P4/mmm

=====

[2]
The following is a GGA-PBE calculation of crystalline KBaMg2 at its relaxed geometry, from Alexandria.

```
KBaMg2
1.0
2.019 -5.369 -2.259
-3.992 -4.552 -1.161
-1.277 -1.569 -5.823
Mg K Ba
2 1 1
Cartesian
-0.813 -2.872 -2.311
-2.438 -8.617 -6.933
0.000 0.000 0.000
-1.625 -5.745 -4.622
```

Values from the calculation:
Offset from the most stable computed form: 0.15 eV/f.u.
ΔH_f (0 K): 135.7 meV/atom
Space-group type: Fm-3m

=====

[3]
The following is a GGA-PBE calculation of crystalline Tm5Bi2Pt2 at its relaxed geometry, from Alexandria.

```
Tm5Bi2Pt2
1.0
7.720 0.000 0.000
0.000 7.113 -3.656
0.000 -0.054 8.641
Tm Bi Pt
10 4 4
Cartesian
0.000 0.000 0.000
3.860 3.556 -1.828
6.484 5.564 -0.831
1.236 3.199 0.385
2.624 6.756 -1.443
5.096 2.008 0.997
1.236 1.495 5.815
6.484 3.859 4.600
5.096 0.303 6.428
2.624 5.051 3.987
0.000 1.471 2.861
3.860 5.027 1.033
0.000 5.588 2.124
3.860 2.031 3.952
4.899 6.159 -3.166
2.821 0.953 -0.490
1.039 4.510 -2.318
6.680 2.603 -1.338
```

Values from the calculation:
ΔH_f (0 K): -977.0 meV/atom
Space-group type: Cmce

=====

[4]
The following is a GGA-PBE calculation of crystalline VHgH at its relaxed geometry, from Alexandria.

```
VHgH
1.0
-0.942 2.577 -1.595
-1.557 -1.945 -1.963
-6.433 0.570 4.326
H Hg V
2 2 2
Cartesian
-3.815 0.640 1.294
-5.117 0.562 -0.526
-6.915 -0.334 1.734
-2.017 1.536 -0.966
-3.832 -0.611 0.026
-5.101 1.813 0.743
```

Values from the calculation:
Offset from the most stable computed form: 0.16 eV/f.u.
Space-group type: P-1

=====

Number 1: DFT total energy -3.580 eV per atom. Number 2: DFT total energy -1.417 eV per atom. Number 3: DFT total energy -5.666 eV per atom. Number 4: DFT total energy -4.188 eV per atom.